No. 1
The following is a DFT calculation (GGA-PBE) of a relaxed La2InGaRh crystal.

a b c (Å): 5.4933 5.4933 4.8478
angles (deg): 90.00 90.00 90.00
Space group P4/mmm (No. 123)
Asymmetric unit:
La 0.0000 0.5000 0.0000 [2 per cell]
In 0.0000 0.0000 0.5000 [1 per cell]
Ga 0.5000 0.5000 0.5000 [1 per cell]
Rh 0.5000 0.5000 0.0000 [1 per cell]

Spin magnetization: 0.0 μB per cell
Mass density: 6.42 Mg/m³

No. 2
The following is a DFT calculation (GGA-PBE) of a relaxed LaTaBe2 crystal.

a b c (Å): 2.9891 2.9891 7.6081
angles (deg): 90.00 90.00 90.00
Space group P4/mmm (No. 123)
Asymmetric unit:
La 0.0000 0.0000 0.0000 [1 per cell]
Ta 0.0000 0.0000 0.5000 [1 per cell]
Be 0.5000 0.5000 0.2980 [2 per cell]

Spin magnetization: 0.0 μB per cell
Polymorph energy (0 for the lowest one): 61 meV/atom
Mass density: 8.25 Mg/m³

Number 1: uncorrected energy -5.143 eV per atom. Number 2: uncorrected energy -5.807 eV per atom.